PBE ZrSc4Ag5, relaxed; DFT formation energy = -0.21 eV per atom
1.0
3.402 0.000 0.000
0.000 3.402 0.000
0.000 0.000 17.524
Zr Sc Ag
1 4 5
Cartesian
0.000 0.000 0.000
0.000 0.000 3.534
0.000 0.000 7.016
0.000 0.000 10.508
0.000 0.000 13.990
1.701 1.701 1.839
1.701 1.701 5.272
1.701 1.701 8.762
1.701 1.701 12.252
1.701 1.701 15.686

***

PBE RbRh3C, relaxed; DFT formation energy = 3.61 eV per atom; E above lowest polymorph = 1426 kJ/mol of formula units
1.0
4.857 0.000 0.000
0.000 4.857 0.000
0.000 0.000 4.857
Rb Rh C
1 3 1
Cartesian
0.000 0.000 0.000
0.000 0.000 2.429
0.000 2.429 0.000
2.429 0.000 0.000
2.429 2.429 2.429

***

PBE LiTlS2, relaxed; formation energy from raw total energies = -0.570 eV per atom
1.0
4.205 0.000 0.000
-1.816 6.671 0.000
-1.097 -2.750 6.795
Li Tl S
2 2 4
Cartesian
0.000 0.000 0.000
0.160 0.722 4.941
0.244 5.107 2.566
2.068 2.299 1.667
-1.993 1.625 6.106
-0.017 0.432 2.459
-1.182 2.991 4.715
1.040 -1.871 5.728

***

PBE KSmCdI6, relaxed; formation energy from raw total energies = -1.133 eV per atom
1.0
7.895 0.000 0.000
-3.948 6.838 0.000
0.000 0.000 15.658
K Sm Cd I
2 2 2 12
Cartesian
0.000 0.000 0.000
0.000 0.000 7.829
0.000 4.558 3.915
3.948 2.279 11.744
0.000 4.558 11.744
3.948 2.279 3.915
-1.419 2.540 9.963
-2.457 4.339 13.524
1.419 2.540 13.524
-1.038 6.796 9.963
2.909 0.041 2.134
1.490 2.499 5.695
2.457 4.339 9.963
1.038 6.796 13.524
4.986 0.041 5.695
2.529 4.298 2.134
6.405 2.499 2.134
5.367 4.298 5.695

***

PBE Pa2Ga2GeRu5, relaxed; DFT formation energy = -0.40 eV per atom
1.0
9.758 0.000 0.000
0.000 9.758 0.000
0.000 0.000 3.541
Pa Ga Ge Ru
4 4 2 10
Cartesian
1.703 3.176 0.000
3.176 8.055 0.000
6.582 1.703 0.000
8.055 6.582 0.000
1.212 6.091 0.000
3.667 1.212 0.000
6.091 8.546 0.000
8.546 3.667 0.000
0.000 0.000 0.000
4.879 4.879 0.000
0.000 4.879 1.771
0.825 7.833 1.771
1.925 0.825 1.771
2.954 5.704 1.771
4.053 2.954 1.771
4.879 0.000 1.771
5.704 6.804 1.771
6.804 4.053 1.771
7.833 8.932 1.771
8.932 1.925 1.771

***

PBE LiPm2Co, relaxed; DFT formation energy = 0.03 eV per atom; E above lowest polymorph = 29 kJ/mol of formula units
1.0
1.962 1.133 8.404
-1.962 1.133 8.404
0.000 -2.265 8.404
Li Pm Co
1 2 1
Cartesian
0.000 0.000 0.000
0.000 0.000 14.050
0.000 0.000 19.467
0.000 0.000 4.139

***

PBE KCa2Y, relaxed; DFT formation energy = 0.37 eV per atom; E above lowest polymorph = 82 kJ/mol of formula units
1.0
-2.712 2.712 5.827
2.712 -2.712 5.827
2.712 2.712 -5.827
K Ca Y
1 2 1
Cartesian
0.000 0.000 0.000
0.000 0.000 5.827
0.000 2.712 2.913
2.712 0.000 2.913

***

PBE Sm8Dy3Er3, relaxed; DFT formation energy = 0.11 eV per atom
1.0
-2.822 5.418 7.521
2.822 -5.418 7.521
2.822 5.418 -7.521
Sm Dy Er
8 3 3
Cartesian
2.822 1.752 -1.557
2.822 3.706 -4.160
2.822 1.752 1.557
0.000 1.713 3.360
2.822 3.706 4.160
0.000 3.666 5.964
0.000 1.713 11.681
0.000 3.666 9.078
2.822 0.000 4.810
0.000 0.000 7.521
0.000 5.418 2.711
0.000 0.000 0.000
0.000 3.257 0.000
0.000 7.580 0.000

***

PBE Ba3CaZn, relaxed; DFT formation energy = 0.06 eV per atom; E above lowest polymorph = 0 kJ/mol of formula units
1.0
6.521 0.000 0.000
0.000 6.521 0.000
0.000 0.000 6.521
Ba Ca Zn
3 1 1
Cartesian
0.000 0.000 3.261
0.000 3.261 0.000
3.261 0.000 0.000
3.261 3.261 3.261
0.000 0.000 0.000

***

PBE Dy2ErNpN4, relaxed; formation energy from raw total energies = -1.574 eV per atom
1.0
5.956 0.000 0.000
0.000 3.452 0.000
-1.939 0.000 5.636
Dy Er Np N
2 1 1 4
Cartesian
0.000 0.000 0.000
2.978 1.726 0.000
-0.969 1.726 2.818
2.008 0.000 2.818
1.024 1.726 1.458
0.103 0.000 4.158
3.914 0.000 1.478
2.993 1.726 4.178

***

PBE Ba3Sr4Ag2, relaxed; DFT formation energy = -0.11 eV per atom
1.0
9.652 -2.296 0.000
9.652 2.296 0.000
-3.552 0.000 10.017
Ba Sr Ag
3 4 2
Cartesian
0.000 0.000 0.000
6.695 0.000 2.269
9.057 0.000 7.748
0.327 0.000 4.304
2.977 0.000 7.863
12.775 0.000 2.155
15.425 0.000 5.714
3.758 0.000 4.445
11.994 0.000 5.573

***

PBE Tb5PrDy3, relaxed; DFT formation energy = 0.18 eV per atom; E above lowest polymorph = 0 kJ/mol of formula units
1.0
8.151 -3.358 0.000
8.151 3.358 0.000
-3.650 0.000 10.821
Tb Pr Dy
10 2 6
Cartesian
1.601 0.022 0.497
-0.224 -0.022 5.907
5.413 2.142 8.116
2.993 0.786 6.803
4.818 -0.786 1.392
7.834 0.786 9.429
9.659 -0.786 4.018
7.238 -2.142 2.705
12.876 0.022 4.914
11.051 -0.022 10.324
7.238 1.535 2.705
5.413 -1.535 8.116
0.768 0.796 9.284
2.593 -0.796 3.874
8.151 0.000 0.000
6.326 0.000 5.411
10.058 0.796 6.948
11.883 -0.796 1.537